UPa2Si3Ir4 (PBE-GGA, relaxed); crystal system = tetragonal; uncorrected energy = -8.9950 eV per atom; M_tot = 1.97 μB/f.u.
1.0
-3.0607 2.5984 0.7717
-1.3967 -0.5144 -3.8078
-6.2061 -8.3200 3.4003
U Pa Si Ir
1 2 3 4
Cartesian
-5.3317 -3.1180 0.1821 U
-2.9805 -0.6449 1.1804 Pa
-5.4543 -6.6330 0.7019 Pa
-3.1030 -4.1600 1.7002 Si
-6.9893 -6.0192 3.3768 Si
-1.4455 -1.2588 -1.4945 Si
-2.2287 1.0420 -1.5181 Ir
0.0000 0.0000 0.0000 Ir
-5.6389 -4.2089 2.6369 Ir
-2.7958 -3.0691 -0.7547 Ir